1.
HoPuMgSc | PBE-GGA | optimized geometry

Lattice parameters (Å, degrees): 7.5314 7.5314 7.5314 90.00 90.00 90.00
With the nearest neighbours (Å) after each atom.
Space group F-43m (No. 216)
Inequivalent atoms, fractional coordinates:
Ho1 0.0000 0.0000 0.0000 x4  4 Sc 3.26, 4 Mg 3.26
Pu1 0.0000 0.0000 0.5000 x4  4 Mg 3.26, 4 Sc 3.26
Mg1 0.2500 0.2500 0.7500 x4  4 Ho 3.26, 4 Pu 3.26
Sc1 0.2500 0.2500 0.2500 x4  4 Ho 3.26, 4 Pu 3.26

- Density of states at the Fermi level: 28.83 states/eV per cell
- Energy of formation: 143 meV per atom

2.
ScCd3Rh | PBE-GGA | optimized geometry

Lattice parameters (Å, degrees): 5.3438 5.3438 5.3438 90.00 90.00 90.00
With the nearest neighbours (Å) after each atom.
Space group Pm-3m (No. 221)
Inequivalent atoms, fractional coordinates:
Sc1 0.0000 0.0000 0.0000 x1  6 Cd 2.67
Cd1 0.0000 0.0000 0.5000 x3  2 Sc 2.67
Rh1 0.5000 0.5000 0.5000 x1  12 Cd 3.78

- Density of states at the Fermi level: 9.46 states/eV per cell
- Energy of formation: 1259 meV per atom

3.
PrNd3Pd3 | PBE-GGA | optimized geometry

Lattice parameters (Å, degrees): 9.6121 10.7895 7.2783 90.00 91.17 90.00
With the nearest neighbours (Å) after each atom.
Space group C2/m (No. 12)
Inequivalent atoms, fractional coordinates:
Pr1 0.2388 0.0000 0.3760 x4  4 Pd 2.91-3.17
Nd1 0.0000 0.2506 0.5000 x4  6 Pd 3.10-3.17
Nd2 0.0000 0.3225 0.0000 x4  6 Pd 2.92-3.09
Nd3 0.1562 0.0000 0.8728 x4  3 Pd 2.97-3.03
Pd1 0.0632 0.5000 0.3086 x4  2 Pr 2.95-3.17, 5 Nd 3.00-3.10, 3 Pd 3.06-3.28
Pd2 0.2421 0.2489 0.2224 x8  1 Pr 2.91, 5 Nd 2.92-3.17, 1 Pd 3.24

- Density of states at the Fermi level: 26.58 states/eV per cell
- Energy of formation: -588 meV per atom

4.
Tb2Er5Tl4 | PBE-GGA | optimized geometry

Lattice parameters (Å, degrees): 3.4529 8.5406 28.7364 90.00 90.00 90.00
With the nearest neighbours (Å) after each atom.
Space group Immm (No. 71)
Inequivalent atoms, fractional coordinates:
Tb1 0.0000 0.0000 0.0967 x4  4 Er 3.27-3.45, 2 Tb 3.45
Er1 0.0000 0.1968 0.2018 x8  3 Tl 3.12-3.37, 5 Er 3.36-3.45, 1 Tb 3.45
Er2 0.0000 0.5000 0.5000 x2  4 Tl 3.22, 4 Tb 3.27, 2 Er 3.45
Tl1 0.0000 0.0000 0.3032 x4  6 Er 3.12-3.37, 2 Tl 3.45
Tl2 0.0000 0.3178 0.0000 x4  3 Tl 3.11-3.45, 2 Er 3.22

- Density of states at the Fermi level: 28.66 states/eV per cell
- Energy of formation: 338 meV per atom

5.
BaCdInAg | PBE-GGA | optimized geometry

Lattice parameters (Å, degrees): 4.8795 4.8795 18.1400 90.00 90.00 120.00
With the nearest neighbours (Å) after each atom.
Space group R3m (No. 160, hexagonal axes)
Inequivalent atoms, fractional coordinates:
Ba1 0.0000 0.0000 0.0000 x3  4 In 3.64-3.75, 4 Cd 3.68
Cd1 0.0000 0.0000 0.2030 x3  3 Ag 2.88, 3 In 3.14
In1 0.0000 0.0000 0.7934 x3  3 Ag 2.92, 3 Cd 3.14
Ag1 0.0000 0.0000 0.5024 x3  3 Cd 2.88, 3 In 2.92

- Density of states at the Fermi level: 10.33 states/eV per cell
- Energy of formation: -242 meV per atom

6.
V5S4 | PBE-GGA | optimized geometry

Lattice parameters (Å, degrees): 8.9697 8.9697 3.1678 90.00 90.00 90.00
With the nearest neighbours (Å) after each atom.
Space group I4/m (No. 87)
Inequivalent atoms, fractional coordinates:
V1 0.0000 0.0000 0.0000 x2  4 S 2.50, 8 V 2.63
V2 0.1212 0.1997 0.5000 x8  5 S 2.33-2.41
S1 0.0632 0.7284 0.0000 x8  6 V 2.33-2.50

- Density of states at the Fermi level: 12.65 states/eV per cell
- Energy relative to the elements, uncorrected: -919 meV per atom

7.
Sr2HPbI | PBE-GGA | optimized geometry

Lattice parameters (Å, degrees): 5.1439 5.1439 5.6974 90.00 90.00 90.00
With the nearest neighbours (Å) after each atom.
Space group P4/mmm (No. 123)
Inequivalent atoms, fractional coordinates:
Sr1 0.0000 0.5000 0.0000 x2  2 H 2.57
H1 0.0000 0.0000 0.0000 x1  4 Sr 2.57, 2 I 2.85
Pb1 0.5000 0.5000 0.5000 x1  4 I 3.64, 8 Sr 3.84
I1 0.0000 0.0000 0.5000 x1  2 H 2.85

- E_tot: -2.762 eV per atom
- Density of states at the Fermi level: 2.47 states/eV per cell

8.
TiCuPd2Pt | PBE-GGA | optimized geometry

Lattice parameters (Å, degrees): 4.5165 4.5165 4.3777 90.00 90.00 90.00
With the nearest neighbours (Å) after each atom.
Space group P4/mmm (No. 123)
Inequivalent atoms, fractional coordinates:
Ti1 0.0000 0.0000 0.0000 x1  2 Cu 2.19
Cu1 0.0000 0.0000 0.5000 x1  2 Ti 2.19, 4 Pd 2.26
Pd1 0.0000 0.5000 0.5000 x2  2 Cu 2.26
Pt1 0.5000 0.5000 0.0000 x1  8 Pd 3.14, 4 Ti 3.19

- Density of states at the Fermi level: 5.59 states/eV per cell
- Energy of formation: 614 meV per atom

9.
KSn2BS6 | PBE-GGA | optimized geometry

Lattice parameters (Å, degrees): 13.3506 13.6068 7.1580 90.00 118.12 90.00
With the nearest neighbours (Å) after each atom.
Space group C2/c (No. 15)
Inequivalent atoms, fractional coordinates:
K1 0.0000 0.1060 0.2500 x4  6 S 3.18-3.28
Sn1 0.1911 0.4096 0.1137 x8  4 S 2.44-2.50
B1 0.0000 0.2182 0.7500 x4  4 S 1.88-1.98
S1 0.0382 0.2890 0.0010 x8  1 B 1.88
S2 0.1023 0.1130 0.7506 x8  1 B 1.98
S3 0.1733 0.4311 0.4438 x8  2 Sn 2.44-2.50

- Energy relative to the elements, uncorrected: -423 meV per atom

10.
Ge3IF | PBE-GGA | optimized geometry

Lattice parameters (Å, degrees): 4.8484 4.8484 4.8484 90.00 90.00 90.00
With the nearest neighbours (Å) after each atom.
Space group Pm-3m (No. 221)
Inequivalent atoms, fractional coordinates:
Ge1 0.0000 0.0000 0.5000 x3  2 F 2.42
I1 0.5000 0.5000 0.5000 x1  12 Ge 3.43
F1 0.0000 0.0000 0.0000 x1  6 Ge 2.42

- Density of states at the Fermi level: 6.13 states/eV per cell
- Energy relative to the elements, uncorrected: 234 meV per atom

11.
KRb2Np3Se8 | PBE-GGA | optimized geometry

Lattice parameters (Å, degrees): 8.5298 8.5298 24.5512 90.00 90.00 120.00
With the nearest neighbours (Å) after each atom.
Space group R3m (No. 160, hexagonal axes)
Inequivalent atoms, fractional coordinates:
K1 0.0000 0.0000 0.0000 x3  4 Se 3.21-3.40
Rb1 0.0000 0.0000 0.3678 x3  6 Se 3.45
Rb2 0.0000 0.0000 0.7321 x3  4 Se 3.29-3.36
Np1 0.0007 0.5004 0.8679 x9  6 Se 2.77-2.90
Se1 0.0000 0.0000 0.1386 x3  3 Np 2.90
Se2 0.0000 0.0000 0.5951 x3  3 Np 2.88
Se3 0.0323 0.5162 0.1418 x9  2 Np 2.77
Se4 0.1814 0.3627 0.9278 x9  2 Np 2.78

- Density of states at the Fermi level: 72.18 states/eV per cell
- Energy relative to the elements, uncorrected: -1110 meV per atom

12.
Pm4Pr7Sc | PBE-GGA | optimized geometry

Lattice parameters (Å, degrees): 18.5675 5.7637 8.9332 90.00 117.61 90.00
With the nearest neighbours (Å) after each atom.
Space group C2/m (No. 12)
Inequivalent atoms, fractional coordinates:
Pm1 0.0296 0.0000 0.1994 x4  1 Pr 2.98, 1 Pm 3.20
Pm2 0.1819 0.0000 0.7216 x4  1 Pr 3.02
Pr1 0.0000 0.0000 0.5000 x2  2 Sc 2.88, 4 Pm 2.98-3.02
Pr2 0.1019 0.5000 0.9212 x4  1 Sc 3.34, 2 Pr 3.51, 2 Pm 3.60
Pr3 0.1617 0.5000 0.4023 x4  1 Sc 3.49, 3 Pm 3.55-3.67, 2 Pr 3.63-3.91
Pr4 0.1995 0.0000 0.1483 x4  4 Pm 3.39-3.67, 3 Pr 3.51-3.63
Sc1 0.0000 0.5000 0.5000 x2  2 Pr 2.88

- Density of states at the Fermi level: 36.41 states/eV per cell
- Energy of formation: 230 meV per atom

13.
Na3CrNi | PBE-GGA | optimized geometry

Lattice parameters (Å, degrees): 5.2679 5.2679 5.2679 90.00 90.00 90.00
With the nearest neighbours (Å) after each atom.
Space group Pm-3m (No. 221)
Inequivalent atoms, fractional coordinates:
Na1 0.0000 0.0000 0.5000 x3  2 Ni 2.63
Cr1 0.5000 0.5000 0.5000 x1  12 Na 3.72
Ni1 0.0000 0.0000 0.0000 x1  6 Na 2.63

- Density of states at the Fermi level: 1.55 states/eV per cell
- Energy of formation: 950 meV per atom

14.
BPtRh4 | PBE-GGA | optimized geometry

Lattice parameters (Å, degrees): 5.3064 5.3063 6.2828 90.00 90.08 90.00
With the nearest neighbours (Å) after each atom.
Space group C2/m (No. 12)
Inequivalent atoms, fractional coordinates:
B1 0.0000 0.0000 0.0000 x2  8 Rh 2.28-2.29
Pt1 0.0000 0.5000 0.5000 x2  8 Rh 2.62
Rh1 0.2496 0.2502 0.2079 x8  2 B 2.28-2.29

- Density of states at the Fermi level: 15.50 states/eV per cell
- Energy of formation: 113 meV per atom

no.,total magnetic moment (μB per atom),calculated volume (A^3/atom)
1,1.535,26.70
2,0.000,30.52
3,0.000,26.95
4,0.000,38.52
5,0.000,31.17
6,0.000,14.16
7,0.000,30.15
8,0.000,17.86
9,0.000,28.67
10,0.000,22.79
11,0.571,36.83
12,0.000,35.30
13,1.020,29.24
14,0.000,14.74